[1]
Density functional theory data (PBE) for a geometry-optimized PmSmAgAu structure.

```
PmSmAgAu
1.0
3.693 0.000 0.000
0.000 3.693 0.000
0.000 0.000 7.422
Pm Sm Ag Au
1 1 1 1
direct
0.000 0.000 0.000
0.000 0.000 0.511
0.500 0.500 0.259
0.500 0.500 0.751
```

Computed properties:
Calculated formation energy = -0.54 eV per atom
ΔE to the lowest computed polymorph = 0.00 eV/f.u.
Calculated volume = 101.22 Å³/cell



[2]
Density functional theory data (PBE) for a geometry-optimized PmSmAgAu structure.

```
PmSmAgAu
1.0
7.398 0.000 0.000
0.000 7.398 0.000
0.000 0.000 7.398
Pm Sm Ag Au
4 4 4 4
direct
0.000 0.000 0.000
0.000 0.500 0.500
0.500 0.000 0.500
0.500 0.500 0.000
0.000 0.000 0.500
0.000 0.500 0.000
0.500 0.000 0.000
0.500 0.500 0.500
0.250 0.250 0.250
0.250 0.750 0.750
0.750 0.250 0.750
0.750 0.750 0.250
0.250 0.250 0.750
0.250 0.750 0.250
0.750 0.250 0.250
0.750 0.750 0.750
```

Computed properties:
Calculated formation energy = -0.53 eV per atom
ΔE to the lowest computed polymorph = 0.04 eV/f.u.
Calculated volume = 404.91 Å³/cell



Among the records above, which one has the highest ΔE to the lowest computed polymorph?
number 2



Number 2 is which compound?
PmSmAgAu



Which formula does entry 1 have?
PmSmAgAu